(1)
16
Lattice="4.108 0.000 0.000 0.000 4.108 0.000 0.000 0.000 16.347" Properties=species:S:1:pos:R:3 comment="PBE Dy3CdPt12, optimized geometry" crystal_system=tetragonal space_group="No. 123" pbc="T T T"
Dy 0.000 0.000 0.000
Dy 0.000 0.000 4.127
Dy 0.000 0.000 12.220
Cd 0.000 0.000 8.174
Pt 0.000 2.054 2.062
Pt 0.000 2.054 6.186
Pt 0.000 2.054 10.161
Pt 0.000 2.054 14.285
Pt 2.054 0.000 2.062
Pt 2.054 0.000 6.186
Pt 2.054 0.000 10.161
Pt 2.054 0.000 14.285
Pt 2.054 2.054 0.000
Pt 2.054 2.054 4.130
Pt 2.054 2.054 8.174
Pt 2.054 2.054 12.217



(2)
11
Lattice="4.333 -6.732 0.000 4.333 6.732 0.000 -1.377 0.000 5.327" Properties=species:S:1:pos:R:3 comment="PBE Dy8CdPt2, optimized geometry" crystal_system=monoclinic space_group="No. 12" pbc="T T T"
Dy 0.965 1.697 3.084
Dy 4.333 3.433 0.000
Dy 0.965 -1.697 3.084
Dy 3.096 0.000 1.034
Dy 4.194 0.000 4.293
Dy 6.324 1.697 2.243
Dy 4.333 -3.433 0.000
Dy 6.324 -1.697 2.243
Cd 0.000 0.000 0.000
Pt 3.645 2.626 2.663
Pt 3.645 -2.626 2.663



(3)
10
Lattice="6.601 0.000 0.000 -3.301 5.717 0.000 0.000 0.000 5.455" Properties=species:S:1:pos:R:3 comment="PBE DyCdPt3, optimized geometry" crystal_system=hexagonal space_group="No. 194" pbc="T T T"
Dy 0.000 3.811 1.364
Dy 3.301 1.906 4.091
Cd 0.000 0.000 0.000
Cd 0.000 0.000 2.728
Pt 0.000 2.306 4.091
Pt -1.303 4.564 4.091
Pt 1.997 1.153 1.364
Pt 1.303 4.564 4.091
Pt 4.604 1.153 1.364
Pt 3.301 3.411 1.364



(4)
7
Lattice="5.105 -1.979 0.000 5.105 1.979 0.000 -0.645 0.000 7.750" Properties=species:S:1:pos:R:3 comment="PBE Dy2Cd3Pt2, optimized geometry" crystal_system=monoclinic space_group="No. 12" pbc="T T T"
Dy 1.015 0.000 2.773
Dy 8.551 0.000 4.977
Cd 1.425 0.000 6.746
Cd 5.105 0.000 0.000
Cd 8.141 0.000 1.004
Pt 3.891 0.000 2.819
Pt 5.675 0.000 4.931



(5)
6
Lattice="5.136 0.000 0.000 -2.568 4.448 0.000 0.000 0.000 6.350" Properties=species:S:1:pos:R:3 comment="PBE Dy3Cd2Pt, optimized geometry" crystal_system=trigonal space_group="No. 164" pbc="T T T"
Dy 0.000 0.000 0.000
Dy 0.000 2.965 4.084
Dy 2.568 1.483 2.266
Cd 0.000 2.965 0.892
Cd 2.568 1.483 5.458
Pt 0.000 0.000 3.175



(6)
12
Lattice="2.695 1.556 8.730 -2.695 1.556 8.730 0.000 -3.112 8.730" Properties=species:S:1:pos:R:3 comment="PBE DyCd3Pt8, optimized geometry" crystal_system=trigonal space_group="No. 160" pbc="T T T"
Dy 0.000 0.000 0.000
Cd 0.000 0.000 3.330
Cd 0.000 0.000 12.984
Cd 0.000 0.000 16.164
Pt -1.352 -0.781 10.327
Pt 0.000 -1.553 5.975
Pt -1.345 0.777 5.975
Pt 0.000 0.000 8.152
Pt 1.345 0.777 5.975
Pt 1.352 -0.781 10.327
Pt 0.000 1.561 10.327
Pt 0.000 0.000 21.243



(7)
4
Lattice="0.000 3.393 3.393 3.393 0.000 3.393 3.393 3.393 0.000" Properties=species:S:1:pos:R:3 comment="PBE DyCdPt2, optimized geometry" crystal_system=cubic space_group="No. 225" pbc="T T T"
Dy 0.000 0.000 0.000
Cd 3.393 3.393 3.393
Pt 1.696 1.696 1.696
Pt 5.089 5.089 5.089



(8)
18
Lattice="7.980 -3.855 0.000 7.980 3.855 0.000 0.000 0.000 7.660" Properties=species:S:1:pos:R:3 comment="PBE Dy5Cd2Pt2, optimized geometry" crystal_system=orthorhombic space_group="No. 64" pbc="T T T"
Dy 0.000 0.000 0.000
Dy 6.069 2.510 5.140
Dy 6.069 1.345 1.310
Dy 9.891 2.510 5.140
Dy 9.891 1.345 1.310
Dy 7.980 0.000 3.830
Dy 6.069 -1.345 6.350
Dy 6.069 -2.510 2.520
Dy 9.891 -1.345 6.350
Dy 9.891 -2.510 2.520
Cd 3.450 0.000 0.000
Cd 4.530 0.000 3.830
Cd 11.430 0.000 3.830
Cd 12.510 0.000 0.000
Pt 7.980 2.843 2.813
Pt 7.980 1.012 6.643
Pt 7.980 -1.012 1.017
Pt 7.980 -2.843 4.847



(9)
11
Lattice="-1.840 4.031 8.111 1.840 -4.031 8.111 1.840 4.031 -8.111" Properties=species:S:1:pos:R:3 comment="PBE Dy3Cd4Pt4, optimized geometry" crystal_system=orthorhombic space_group="No. 71" pbc="T T T"
Dy 0.000 0.000 0.000
Dy 1.840 0.000 6.376
Dy 0.000 4.031 1.736
Cd 1.840 1.504 -2.684
Cd 1.840 1.504 2.684
Cd 0.000 2.527 5.427
Cd 0.000 2.527 10.795
Pt 0.000 0.000 4.168
Pt 1.840 2.379 0.000
Pt 0.000 1.652 8.111
Pt 0.000 0.000 12.055



(10)
12
Lattice="4.100 0.000 0.000 0.000 4.100 0.000 0.000 0.000 12.254" Properties=species:S:1:pos:R:3 comment="PBE Dy2CdPt9, optimized geometry" crystal_system=tetragonal space_group="No. 123" pbc="T T T"
Dy 0.000 0.000 2.076
Dy 0.000 0.000 10.178
Cd 0.000 0.000 6.127
Pt 0.000 2.050 0.000
Pt 0.000 2.050 4.134
Pt 0.000 2.050 8.121
Pt 2.050 0.000 0.000
Pt 2.050 0.000 4.134
Pt 2.050 0.000 8.121
Pt 2.050 2.050 2.067
Pt 2.050 2.050 6.127
Pt 2.050 2.050 10.188



(11)
7
Lattice="2.161 -9.165 0.000 2.161 9.165 0.000 0.000 0.000 3.783" Properties=species:S:1:pos:R:3 comment="PBE DyCd4Pt2, optimized geometry" crystal_system=orthorhombic space_group="No. 65" pbc="T T T"
Dy 0.000 0.000 0.000
Cd 2.161 6.099 1.891
Cd 2.161 3.462 0.000
Cd 2.161 -3.462 0.000
Cd 2.161 -6.099 1.891
Pt 2.161 1.291 1.891
Pt 2.161 -1.291 1.891



(12)
8
Lattice="7.001 0.000 0.000 -3.480 6.089 0.000 -3.463 -2.027 6.096" Properties=species:S:1:pos:R:3 comment="PBE Dy6CdPt, optimized geometry" crystal_system=triclinic space_group="No. 2" pbc="T T T"
Dy -0.916 -0.072 1.549
Dy -1.330 3.882 1.543
Dy -2.256 1.766 4.552
Dy 2.313 2.297 1.544
Dy 1.387 0.181 4.553
Dy 0.973 4.134 4.547
Cd 3.500 0.000 0.000
Pt 0.029 2.031 3.048



Number 1: total magnetic moment 0.0 μB/cell, energy -6.271 eV/atom. Number 2: total magnetic moment 0.0 μB/cell, energy -4.989 eV/atom. Number 3: total magnetic moment 0.0 μB/cell, energy -5.216 eV/atom. Number 4: total magnetic moment 0.0 μB/cell, energy -4.160 eV/atom. Number 5: total magnetic moment 0.0 μB/cell, energy -4.218 eV/atom. Number 6: total magnetic moment 0.0 μB/cell, energy -5.126 eV/atom. Number 7: total magnetic moment 0.0 μB/cell, energy -5.241 eV/atom. Number 8: total magnetic moment 0.0 μB/cell, energy -4.800 eV/atom. Number 9: total magnetic moment 0.0 μB/cell, energy -4.534 eV/atom. Number 10: total magnetic moment 0.0 μB/cell, energy -6.122 eV/atom. Number 11: total magnetic moment 0.0 μB/cell, energy -3.359 eV/atom. Number 12: total magnetic moment 0.0 μB/cell, energy -4.459 eV/atom.